A plane-wave DFT calculation with GGA-PBE was carried out for a geometry-optimized CoOsPt2 structure.

Values from the calculation:
- total magnetic moment (μB/atom) = 0.1427
- energy of formation from the pure elements (eV per atom) = 0.039
- E above lowest polymorph (eV per atom) = 0.025
- symmetry = P4mm, No. 99

Cell lengths 2.7123, 2.7123, 7.6438 Å; angles 90.00, 90.00, 90.00 degrees
Sites, in units of the cell vectors:
Pt: 0.0000 0.0000 0.9893
Pt: 0.5000 0.5000 0.2689
Co: 0.0000 0.0000 0.5140
Os: 0.5000 0.5000 0.7278